The following is a GGA-PBE calculation of a relaxed Fe2AgHRh crystal, from Alexandria.

a b c (Å): 3.906 3.906 3.842
angles (deg): 90.00 90.00 90.00
Atoms (fractional coordinates):
Fe: 0.000 0.500 0.000
Fe: 0.500 0.000 0.000
Ag: 0.000 0.000 0.500
H: 0.500 0.500 0.000
Rh: 0.500 0.500 0.500

## Properties
space-group type: P4/mmm (123)
uncorrected energy: -29.81 eV for the cell shown

***

The following is a GGA-PBE calculation of a relaxed Cr2Co crystal, from Alexandria.

a b c (Å): 5.390 5.390 5.390
angles (deg): 90.00 90.00 90.00
Atoms (fractional coordinates):
Cr: 0.119 0.119 0.119
Cr: 0.119 0.381 0.619
Cr: 0.381 0.619 0.119
Cr: 0.381 0.881 0.619
Cr: 0.619 0.119 0.381
Cr: 0.619 0.381 0.881
Cr: 0.881 0.619 0.381
Cr: 0.881 0.881 0.881
Co: 0.000 0.000 0.500
Co: 0.000 0.500 0.000
Co: 0.500 0.000 0.000
Co: 0.500 0.500 0.500

## Properties
space-group type: Pa-3 (205)
uncorrected energy: -94.68 eV for the cell shown
calculated formation energy: 2.68 eV per formula unit

***

The following is a GGA-PBE calculation of a relaxed MnTc2Ni crystal, from Alexandria.

a b c (Å): 8.668 8.668 8.668
angles (deg): 17.54 17.54 17.54
Atoms (fractional coordinates):
Mn: 0.000 0.000 0.000
Tc: 0.251 0.251 0.251
Tc: 0.749 0.749 0.749
Ni: 0.500 0.500 0.500

## Properties
polymorph energy (0 for the lowest one): 51 kJ/mol of formula units
space-group type: R-3m (166)
uncorrected energy: -35.18 eV for the cell shown
calculated formation energy: 0.50 eV per formula unit

***

The following is a GGA-PBE calculation of a relaxed Li4MgMo crystal, from Alexandria.

a b c (Å): 5.242 5.242 5.242
angles (deg): 60.00 60.00 60.00
Atoms (fractional coordinates):
Li: 0.376 0.376 0.376
Li: 0.376 0.376 0.871
Li: 0.376 0.871 0.376
Li: 0.871 0.376 0.376
Mg: 0.000 0.000 0.000
Mo: 0.750 0.750 0.750

## Properties
space-group type: F-43m (216)
uncorrected energy: -17.48 eV for the cell shown
calculated formation energy: 2.60 eV per formula unit

***

The following is a GGA-PBE calculation of a relaxed CuIF crystal, from Alexandria.

a b c (Å): 3.312 6.513 6.669
angles (deg): 77.52 89.95 75.51
Atoms (fractional coordinates):
Cu: 0.000 0.000 0.000
Cu: 0.453 0.091 0.402
I: 0.628 0.740 0.881
I: 0.825 0.350 0.523
F: 0.038 0.920 0.352
F: 0.415 0.171 0.050

## Properties
polymorph energy (0 for the lowest one): 0 kJ/mol of formula units
space-group type: P1 (1)
uncorrected energy: -19.61 eV for the cell shown

***

The following is a GGA-PBE calculation of a relaxed DyZrGaTc crystal, from Alexandria.

a b c (Å): 4.826 4.826 4.826
angles (deg): 60.00 60.00 60.00
Atoms (fractional coordinates):
Dy: 0.000 0.000 0.000
Zr: 0.500 0.500 0.500
Ga: 0.750 0.750 0.750
Tc: 0.250 0.250 0.250

## Properties
space-group type: F-43m (216)
uncorrected energy: -27.75 eV for the cell shown
calculated formation energy: -1.21 eV per formula unit

***

The following is a GGA-PBE calculation of a relaxed K4Np3NiSe8 crystal, from Alexandria.

a b c (Å): 8.335 8.335 9.037
angles (deg): 117.46 117.46 59.95
Atoms (fractional coordinates):
K: 0.000 0.000 0.000
K: 0.000 0.500 0.000
K: 0.500 0.000 0.000
K: 0.500 0.500 0.000
Np: 0.000 0.000 0.500
Np: 0.000 0.500 0.500
Np: 0.500 0.000 0.500
Ni: 0.500 0.500 0.500
Se: 0.236 0.236 0.708
Se: 0.245 0.725 0.695
Se: 0.274 0.274 0.304
Se: 0.275 0.755 0.305
Se: 0.725 0.245 0.695
Se: 0.726 0.726 0.696
Se: 0.755 0.275 0.305
Se: 0.764 0.764 0.292

## Properties
space-group type: C2/m (12)
uncorrected energy: -93.69 eV for the cell shown

***

The following is a GGA-PBE calculation of a relaxed B5C3 crystal, from Alexandria.

a b c (Å): 4.573 4.573 4.721
angles (deg): 90.24 90.24 33.88
Atoms (fractional coordinates):
B: 0.000 0.000 0.000
B: 0.523 0.523 0.474
B: 0.701 0.701 0.745
B: 0.727 0.727 0.391
B: 0.899 0.899 0.627
C: 0.177 0.177 0.927
C: 0.266 0.266 0.197
C: 0.436 0.436 0.151

## Properties
polymorph energy (0 for the lowest one): 108 kJ/mol of formula units
space-group type: Cm (8)
uncorrected energy: -57.79 eV for the cell shown
calculated formation energy: 3.27 eV per formula unit